This record from the Alexandria database describes crystalline Ba2CaTiPd at its relaxed geometry. The functional is PBE-GGA.

Unit cell a=6.0697 b=5.7687 c=6.0697 alpha=90.00 beta=90.00 gamma=90.00
Each line ends with the local moment (μB).
Atoms (fractional coordinates):
Ca: 0.0000 0.5000 0.0000  0.17
Ti: 0.0000 0.0000 0.0000  2.06
Ba: 0.0000 0.0000 0.5000  0.23
Ba: 0.5000 0.0000 0.0000  0.17
Pd: 0.5000 0.5000 0.5000  0.06

ΔH_f (0 K): 805 meV/atom
M_tot: 4.19 μB/cell

---

This record from the Alexandria database describes crystalline AcMg5Cu3 at its relaxed geometry. The functional is PBE-GGA.

Unit cell a=4.2665 b=7.2613 c=13.1843 alpha=90.00 beta=90.00 gamma=107.08
Atoms (fractional coordinates):
Mg: 0.0000 0.0000 0.5000
Ac: 0.8392 0.6785 0.7500
Mg: 0.5642 0.1283 0.8562
Cu: 0.3896 0.7791 0.9443
Mg: 0.0000 0.0000 0.0000
Cu: 0.6104 0.2209 0.4443
Cu: 0.6104 0.2209 0.0557
Mg: 0.5642 0.1283 0.6438
Cu: 0.3896 0.7791 0.5557
Cu: 0.1363 0.2727 0.7500
Mg: 0.4358 0.8717 0.1438
Cu: 0.8637 0.7273 0.2500
Mg: 0.7976 0.5951 0.4404
Ac: 0.1608 0.3215 0.2500
Mg: 0.2024 0.4049 0.5596
Mg: 0.4358 0.8717 0.3562
Mg: 0.7976 0.5951 0.0596
Mg: 0.2024 0.4049 0.9404

ΔH_f (0 K): -62 meV/atom
M_tot: 0.00 μB/cell

---

This record from the Alexandria database describes crystalline LiSi2Se at its relaxed geometry. The functional is PBE-GGA.

Unit cell a=4.8165 b=4.8165 c=4.8165 alpha=127.94 beta=127.94 gamma=76.73
Atoms (fractional coordinates):
Si: 0.0000 0.0000 0.0000
Si: 0.2500 0.7500 0.5000
Li: 0.5000 0.5000 0.0000
Se: 0.7500 0.2500 0.5000

total energy: -3.8767 eV/atom
M_tot: 0.00 μB/cell

---

This record from the Alexandria database describes crystalline SbTeN2O at its relaxed geometry. The functional is PBE-GGA.

Unit cell a=4.1551 b=4.1551 c=3.9184 alpha=90.00 beta=90.00 gamma=90.00
Atoms (fractional coordinates):
Te: 0.5000 0.5000 0.5000
Sb: 0.0000 0.0000 0.0000
N: 0.0000 0.5000 0.0000
O: 0.0000 0.0000 0.5000
N: 0.5000 0.0000 0.0000

total energy: -5.0486 eV/atom
M_tot: 0.00 μB/cell

---

This record from the Alexandria database describes crystalline Tl2HgOsO6 at its relaxed geometry. The functional is PBE-GGA.

Unit cell a=6.3229 b=6.3229 c=10.1212 alpha=71.80 beta=71.80 gamma=60.00
Atoms (fractional coordinates):
O: 0.7687 0.1757 0.8800
O: 0.1797 0.6027 0.6149
O: 0.6027 0.6027 0.6149
O: 0.1757 0.7687 0.8800
O: 0.6027 0.1797 0.6149
Hg: 0.6198 0.6198 0.1406
O: 0.3973 0.3973 0.3851
Hg: 0.3802 0.3802 0.8594
Tl: 0.7407 0.7407 0.7779
O: 0.8203 0.3973 0.3851
O: 0.2313 0.8243 0.1200
Tl: 0.1302 0.1302 0.6094
Tl: 0.8698 0.8698 0.3906
O: 0.8243 0.8243 0.1200
O: 0.8243 0.2313 0.1200
O: 0.1757 0.1757 0.8800
Os: 0.5000 0.5000 0.5000
Os: 0.0000 0.0000 0.0000
O: 0.3973 0.8203 0.3851
Tl: 0.2593 0.2593 0.2221

total energy: -5.2447 eV/atom
M_tot: 0.00 μB/cell

---

This record from the Alexandria database describes crystalline Fe3Co3Ge at its relaxed geometry. The functional is PBE-GGA.

Unit cell a=5.6282 b=5.6282 c=5.5013 alpha=90.00 beta=90.00 gamma=89.48
Each line ends with the local moment (μB).
Atoms (fractional coordinates):
Fe: 0.2654 0.7346 0.5000  2.87
Fe: 0.7346 0.2654 0.5000  2.87
Co: 0.0000 0.0000 0.7490  1.47
Co: 0.5000 0.0000 0.2538  1.32
Fe: 0.2592 0.2592 0.5000  2.77
Co: 0.5000 0.0000 0.7462  1.32
Fe: 0.7408 0.7408 0.5000  2.77
Ge: 0.7328 0.7328 0.0000  -0.07
Fe: 0.7307 0.2693 0.0000  2.73
Co: 0.0000 0.0000 0.2510  1.47
Fe: 0.2693 0.7307 0.0000  2.73
Co: 0.0000 0.5000 0.2538  1.32
Ge: 0.2672 0.2672 0.0000  -0.07
Co: 0.0000 0.5000 0.7462  1.32

ΔH_f (0 K): 34 meV/atom
M_tot: 24.61 μB/cell

---

This record from the Alexandria database describes crystalline Li3Sm2Au2 at its relaxed geometry. The functional is PBE-GGA.

Unit cell a=4.3189 b=5.6176 c=7.4293 alpha=110.43 beta=90.00 gamma=112.61
Atoms (fractional coordinates):
Li: 0.5000 0.0000 0.0000
Li: 0.3594 0.7188 0.5624
Au: 0.8516 0.7031 0.7985
Li: 0.6406 0.2812 0.4376
Au: 0.1484 0.2969 0.2015
Sm: 0.1406 0.2811 0.7792
Sm: 0.8594 0.7189 0.2208

ΔH_f (0 K): -480 meV/atom
M_tot: 0.00 μB/cell

---

This record from the Alexandria database describes crystalline YPtOF2 at its relaxed geometry. The functional is PBE-GGA.

Unit cell a=4.2148 b=4.2148 c=4.4639 alpha=90.00 beta=90.00 gamma=90.00
Each line ends with the local moment (μB).
Atoms (fractional coordinates):
Pt: 0.5000 0.5000 0.5000  0.82
O: 0.0000 0.0000 0.5000  0.16
Y: 0.0000 0.0000 0.0000  -0.01
F: 0.5000 0.0000 0.0000  0.01
F: 0.0000 0.5000 0.0000  0.01

total energy: -6.0533 eV/atom
M_tot: 1.06 μB/cell